## CaNiBi (PBE)

Data for a relaxed CaNiBi crystal.

Fermi-level density of states ... 3.87 states/eV per cell
E ... -25.83 eV for the cell shown

Cell: 4.2926 5.6769 6.5199 Å, 99.32 109.22 90.00°
Element x y z (fractional)
1 Bi 0.3991 0.2222 0.7981
2 Bi 0.6009 0.7778 0.2019
3 Ni 0.2194 0.8800 0.4387
4 Ni 0.7806 0.1200 0.5613
5 Ca 0.1283 0.3073 0.2567
6 Ca 0.8717 0.6927 0.7433


## CaNiBi2 (PBE)

Data for a relaxed CaNiBi2 crystal.

Fermi-level density of states ... 3.43 states/eV per cell
E ... -15.67 eV for the cell shown

Cell: 5.1930 5.1930 5.1930 Å, 60.00 60.00 60.00°
Element x y z (fractional)
1 Ca 0.0000 0.0000 0.0000
2 Bi 0.2500 0.2500 0.2500
3 Bi 0.7500 0.7500 0.7500
4 Ni 0.5000 0.5000 0.5000


## Ca2Ni2Bi (PBE)

Data for a relaxed Ca2Ni2Bi crystal.

Fermi-level density of states ... 3.85 states/eV per cell
E ... -20.42 eV for the cell shown

Cell: 3.5115 3.5115 9.5964 Å, 79.46 79.46 90.00°
Site moments in Bohr magnetons follow the coordinates.
Element x y z (fractional)
1 Ni 0.7500 0.2500 0.5000  0.12
2 Ni 0.2500 0.7500 0.5000  0.12
3 Ca 0.3721 0.3721 0.2557  0.00
4 Ca 0.6279 0.6279 0.7443  0.00
5 Bi 0.0000 0.0000 0.0000  0.00


## Ca2Ni2Bi (PBE)

Data for a relaxed Ca2Ni2Bi crystal.

Fermi-level density of states ... 9.35 states/eV per cell
E ... -41.46 eV for the cell shown

Cell: 7.1137 7.1137 4.3494 Å, 90.00 90.00 90.00°
Element x y z (fractional)
1 Ni 0.6158 0.1158 0.0000
2 Ni 0.8842 0.6158 0.0000
3 Ni 0.3842 0.8842 0.0000
4 Ni 0.1158 0.3842 0.0000
5 Bi 0.0000 0.0000 0.0000
6 Bi 0.5000 0.5000 0.0000
7 Ca 0.8223 0.3223 0.5000
8 Ca 0.1777 0.6777 0.5000
9 Ca 0.3223 0.1777 0.5000
10 Ca 0.6777 0.8223 0.5000


## CaNiBi2 (PBE)

Data for a relaxed CaNiBi2 crystal.

Fermi-level density of states ... 2.81 states/eV per cell
E ... -15.43 eV for the cell shown

Cell: 4.0059 4.0059 9.4983 Å, 77.83 77.83 60.00°
Element x y z (fractional)
1 Bi 0.8805 0.8805 0.3584
2 Bi 0.1195 0.1195 0.6416
3 Ca 0.0000 0.0000 0.0000
4 Ni 0.5000 0.5000 0.5000


## CaNi2Bi2 (PBE)

Data for a relaxed CaNi2Bi2 crystal.

Fermi-level density of states ... 14.96 states/eV per cell
E ... -43.68 eV for the cell shown

Cell: 7.6062 7.6062 3.6748 Å, 90.00 90.00 90.00°
Element x y z (fractional)
1 Bi 0.3317 0.1683 0.5000
2 Bi 0.8317 0.3317 0.5000
3 Bi 0.6683 0.8317 0.5000
4 Bi 0.1683 0.6683 0.5000
5 Ca 0.5000 0.5000 0.0000
6 Ca 0.0000 0.0000 0.0000
7 Ni 0.1163 0.3837 0.0000
8 Ni 0.3837 0.8837 0.0000
9 Ni 0.8837 0.6163 0.0000
10 Ni 0.6163 0.1163 0.0000